Record 1
The following is a DFT calculation (PBE) of crystalline SbOsPb4 at its relaxed geometry.

Structure (POSCAR):
```
SbOsPb4
1.0
0.000 4.437 4.437
4.437 0.000 4.437
4.437 4.437 0.000
Os Pb Sb
1 4 1
Direct
0.000 0.000 0.000 Os
0.374 0.374 0.877 Pb
0.374 0.374 0.374 Pb
0.374 0.877 0.374 Pb
0.877 0.374 0.374 Pb
0.750 0.750 0.750 Sb
```

The space-group type is F-43m (216). The magnetic moment is 1.80 μB/cell. As for the uncorrected formation energy: 1.084 eV per atom. The total energy is -3.9468 eV/atom.



Record 2
The following is a DFT calculation (PBE) of crystalline Sc4TlRu at its relaxed geometry.

Structure (POSCAR):
```
Sc4TlRu
1.0
-4.468 -3.203 -1.865
3.083 -4.785 4.627
-3.672 5.252 3.569
Sc Ru Tl
8 2 2
Direct
0.450 0.724 0.060 Sc
0.050 0.940 0.276 Sc
0.550 0.276 0.940 Sc
0.888 0.644 0.803 Sc
0.388 0.803 0.644 Sc
0.612 0.197 0.356 Sc
0.112 0.356 0.197 Sc
0.950 0.060 0.724 Sc
0.750 0.001 0.999 Ru
0.250 0.999 0.001 Ru
0.250 0.373 0.627 Tl
0.750 0.627 0.373 Tl
```

The space-group type is C2/c (15). The magnetic moment is 0.00 μB/cell. For the formation energy from the elements, the calculation gives -339.5 meV/atom. As for the offset from the most stable computed form: 0.00 eV per formula unit. The total energy is -6.5009 eV/atom.



Record 3
The following is a DFT calculation (PBE) of crystalline Tl2SnPO4 at its relaxed geometry.

Structure (POSCAR):
```
Tl2SnPO4
1.0
-1.278 6.633 -3.257
-5.526 -3.384 3.775
1.808 2.895 5.216
Tl O Sn P
4 8 2 2
Direct
0.000 0.000 0.500 Tl
0.500 0.000 0.000 Tl
0.500 0.000 0.500 Tl
0.500 0.500 0.000 Tl
0.743 0.593 0.500 O
0.180 0.680 0.751 O
0.820 0.320 0.249 O
0.257 0.407 0.500 O
0.093 0.243 0.000 O
0.907 0.757 0.000 O
0.820 0.320 0.749 O
0.180 0.680 0.251 O
0.000 0.500 0.500 Sn
0.000 0.500 0.000 Sn
0.500 0.500 0.500 P
0.000 0.000 0.000 P
```

The space-group type is C2/c (15). The magnetic moment is 0.00 μB/cell. As for the uncorrected formation energy: -0.812 eV per atom. The total energy is -5.0593 eV/atom.



Record 4
The following is a DFT calculation (PBE) of crystalline KCr2Cl at its relaxed geometry.

Structure (POSCAR):
```
KCr2Cl
1.0
4.553 0.000 0.000
0.000 4.553 0.000
2.277 2.277 9.506
Cl Cr K
2 4 2
Direct
0.250 0.750 0.500 Cl
0.500 0.500 0.000 Cl
0.375 0.625 0.750 Cr
0.375 0.125 0.250 Cr
0.875 0.625 0.750 Cr
0.375 0.625 0.250 Cr
0.750 0.250 0.500 K
0.000 0.000 0.000 K
```

The space-group type is I4_1/amd (141). The magnetic moment is 10.82 μB/cell. As for the offset from the most stable computed form: 3.39 eV per formula unit. As for the uncorrected formation energy: 0.853 eV per atom. The total energy is -4.6949 eV/atom.



Record 5
The following is a DFT calculation (PBE) of crystalline CaGaPRh3 at its relaxed geometry.

Structure (POSCAR):
```
CaGaPRh3
1.0
5.778 0.000 0.000
0.000 5.702 0.000
0.000 -2.851 7.152
Rh Ca P Ga
6 2 2 2
Direct
0.000 0.251 0.000 Rh
0.750 0.776 0.552 Rh
0.250 0.224 0.448 Rh
0.500 0.749 0.000 Rh
0.500 0.251 0.000 Rh
0.000 0.749 0.000 Rh
0.250 0.721 0.443 Ca
0.750 0.279 0.557 Ca
0.750 0.929 0.859 P
0.250 0.071 0.141 P
0.250 0.395 0.791 Ga
0.750 0.605 0.209 Ga
```

The space-group type is Cmcm (63). The magnetic moment is 0.00 μB/cell. For the formation energy from the elements, the calculation gives -574.8 meV/atom. The total energy is -5.9902 eV/atom.



Record 6
The following is a DFT calculation (PBE) of crystalline KSi2Sb at its relaxed geometry.

Structure (POSCAR):
```
KSi2Sb
1.0
-3.254 1.233 -3.093
-1.154 -1.593 -4.220
-5.152 -4.505 1.698
Si Sb K
2 1 1
Direct
0.725 0.725 0.871 Si
0.025 0.025 0.940 Si
0.264 0.264 0.154 Sb
0.486 0.486 0.535 K
```

The space-group type is Cm (8). The magnetic moment is 0.00 μB/cell. As for the uncorrected formation energy: 0.155 eV per atom. The total energy is -3.8619 eV/atom.



Record 7
The following is a DFT calculation (PBE) of crystalline ScNi5H4 at its relaxed geometry.

Structure (POSCAR):
```
ScNi5H4
1.0
4.264 0.000 0.000
0.000 7.540 0.000
0.000 0.000 5.273
Ni H Sc
10 8 2
Direct
0.777 0.500 0.000 Ni
0.755 0.171 0.253 Ni
0.245 0.671 0.247 Ni
0.245 0.671 0.753 Ni
0.245 0.329 0.753 Ni
0.755 0.171 0.747 Ni
0.755 0.829 0.747 Ni
0.755 0.829 0.253 Ni
0.245 0.329 0.247 Ni
0.223 0.000 0.500 Ni
0.466 0.500 0.194 H
0.961 0.275 0.000 H
0.039 0.775 0.500 H
0.039 0.225 0.500 H
0.534 0.000 0.306 H
0.961 0.725 0.000 H
0.466 0.500 0.806 H
0.534 0.000 0.694 H
0.765 0.500 0.500 Sc
0.235 0.000 0.000 Sc
```

The space-group type is Pmmn (59). The magnetic moment is 0.00 μB/cell. The total energy is -5.0487 eV/atom.



Record 8
The following is a DFT calculation (PBE) of crystalline BaSb2Cl at its relaxed geometry.

Structure (POSCAR):
```
BaSb2Cl
1.0
-3.221 -4.662 0.555
-1.829 -1.600 5.149
-5.511 0.491 1.343
Cl Sb Ba
1 2 1
Direct
0.000 0.000 0.000 Cl
0.750 0.750 0.750 Sb
0.250 0.250 0.250 Sb
0.500 0.500 0.500 Ba
```

The space-group type is Fm-3m (225). The magnetic moment is 0.00 μB/cell. As for the offset from the most stable computed form: 3.33 eV per formula unit. As for the uncorrected formation energy: -0.189 eV per atom. The total energy is -3.1927 eV/atom.



Record 9
The following is a DFT calculation (PBE) of crystalline SnBi3S6 at its relaxed geometry.

Structure (POSCAR):
```
SnBi3S6
1.0
4.000 0.000 0.000
0.000 12.195 0.527
0.000 -3.558 10.811
Sn S Bi
2 12 6
Direct
0.250 0.023 0.326 Sn
0.750 0.977 0.674 Sn
0.250 0.207 0.244 S
0.250 0.278 0.746 S
0.750 0.945 0.123 S
0.750 0.392 0.073 S
0.250 0.055 0.877 S
0.750 0.793 0.756 S
0.750 0.115 0.480 S
0.750 0.480 0.615 S
0.250 0.885 0.520 S
0.750 0.722 0.254 S
0.250 0.520 0.385 S
0.250 0.608 0.927 S
0.250 0.562 0.154 Bi
0.750 0.669 0.464 Bi
0.750 0.438 0.846 Bi
0.250 0.331 0.536 Bi
0.250 0.848 0.927 Bi
0.750 0.152 0.073 Bi
```

The space-group type is P2_1/m (11). The magnetic moment is 0.00 μB/cell. As for the uncorrected formation energy: -0.289 eV per atom. The total energy is -4.3299 eV/atom.



Record 10
The following is a DFT calculation (PBE) of crystalline Tl2InCo at its relaxed geometry.

Structure (POSCAR):
```
Tl2InCo
1.0
3.217 0.000 0.000
0.000 3.218 0.000
0.000 0.000 8.844
In Tl Co
1 2 1
Direct
0.500 0.500 0.680 In
0.500 0.500 0.315 Tl
0.000 0.000 0.988 Tl
0.000 0.000 0.517 Co
```

The space-group type is P4mm (99). The magnetic moment is 0.66 μB/cell. For the formation energy from the elements, the calculation gives 261.8 meV/atom. As for the offset from the most stable computed form: 0.14 eV per formula unit. The total energy is -3.3824 eV/atom.



Record 11
The following is a DFT calculation (PBE) of crystalline Li2AsPd at its relaxed geometry.

Structure (POSCAR):
```
Li2AsPd
1.0
-6.338 3.415 -0.427
-3.392 -6.048 1.984
-4.665 -0.649 3.154
Li As Pd
4 2 2
Direct
0.375 0.374 0.750 Li
0.875 0.876 0.750 Li
0.124 0.625 0.250 Li
0.626 0.125 0.250 Li
0.250 0.750 0.500 As
0.500 0.500 0.000 As
0.000 0.000 0.000 Pd
0.750 0.250 0.500 Pd
```

The space-group type is I-42d (122). The magnetic moment is 0.00 μB/cell. For the formation energy from the elements, the calculation gives -323.7 meV/atom. The total energy is -3.7412 eV/atom.